No. 1
Material: NaTbNd2
Method: DFT, PBE
State: relaxed

DOS at the Fermi energy ... 4.8 states/eV/cell
SG ... No. 123
Calculated formation energy ... 0.195 eV/atom
V ... 135 Å³/cell
Total magnetization ... 0.00 μB per atom

```
data_NaTbNd2
_cell_length_a 3.758
_cell_length_b 5.984
_cell_length_c 5.984
_cell_angle_alpha 90.00
_cell_angle_beta 90.00
_cell_angle_gamma 90.00
_symmetry_space_group_name_H-M 'P 1'
_symmetry_Int_Tables_number 1
_symmetry_space_group_name_Hall 'P 1'
loop_
_atom_site_label
_atom_site_type_symbol
_atom_site_fract_x
_atom_site_fract_y
_atom_site_fract_z
_atom_site_occupancy
Na1 Na 0.500 0.500 0.500 1
Tb1 Tb 0.500 0.000 0.000 1
Nd1 Nd 0.000 0.000 0.500 1
Nd2 Nd 0.000 0.500 0.000 1
```

---

No. 2
Material: NaTbNd
Method: DFT, PBE
State: relaxed

DOS at the Fermi energy ... 7.8 states/eV/cell
SG ... No. 69
Calculated formation energy ... 0.404 eV/atom
V ... 213 Å³/cell
Total magnetization ... 0.00 μB per atom

```
data_NaTbNd
_cell_length_a 6.592
_cell_length_b 6.753
_cell_length_c 6.387
_cell_angle_alpha 75.41
_cell_angle_beta 58.93
_cell_angle_gamma 60.79
_symmetry_space_group_name_H-M 'P 1'
_symmetry_Int_Tables_number 1
_symmetry_space_group_name_Hall 'P 1'
loop_
_atom_site_label
_atom_site_type_symbol
_atom_site_fract_x
_atom_site_fract_y
_atom_site_fract_z
_atom_site_occupancy
Na1 Na 0.131 0.739 0.000 1
Na2 Na 0.869 0.261 0.000 1
Nd1 Nd 0.329 0.000 0.342 1
Nd2 Nd 0.671 0.000 0.658 1
Tb1 Tb 0.250 0.500 0.500 1
Tb2 Tb 0.750 0.500 0.500 1
```

---

No. 3
Material: Na3Tb2NdTe6
Method: DFT, PBE
State: relaxed

E_form (uncorrected) ... -30.5 kcal/mol of atoms
SG ... No. 12
V ... 394 Å³/cell
Total magnetization ... 0.00 μB per atom

```
data_Na3Tb2NdTe6
_cell_length_a 7.759
_cell_length_b 7.759
_cell_length_c 7.999
_cell_angle_alpha 99.31
_cell_angle_beta 99.31
_cell_angle_gamma 120.01
_symmetry_space_group_name_H-M 'P 1'
_symmetry_Int_Tables_number 1
_symmetry_space_group_name_Hall 'P 1'
loop_
_atom_site_label
_atom_site_type_symbol
_atom_site_fract_x
_atom_site_fract_y
_atom_site_fract_z
_atom_site_occupancy
Te1 Te 0.921 0.582 0.765 1
Te2 Te 0.418 0.079 0.235 1
Te3 Te 0.738 0.738 0.235 1
Te4 Te 0.262 0.262 0.765 1
Te5 Te 0.582 0.921 0.765 1
Te6 Te 0.079 0.418 0.235 1
Na1 Na 0.165 0.835 0.500 1
Na2 Na 0.500 0.500 0.500 1
Na3 Na 0.835 0.165 0.500 1
Tb1 Tb 0.333 0.667 0.000 1
Tb2 Tb 0.667 0.333 0.000 1
Nd1 Nd 0.000 0.000 0.000 1
```

---

No. 4
Material: NaTb2NdTe4
Method: DFT, PBE
State: relaxed

DOS at the Fermi energy ... 3.1 states/eV/cell
E_form (uncorrected) ... -31.1 kcal/mol of atoms
SG ... No. 10
V ... 248 Å³/cell
Total magnetization ... 0.00 μB per atom

```
data_NaTb2NdTe4
_cell_length_a 4.399
_cell_length_b 7.714
_cell_length_c 7.735
_cell_angle_alpha 108.88
_cell_angle_beta 90.00
_cell_angle_gamma 90.00
_symmetry_space_group_name_H-M 'P 1'
_symmetry_Int_Tables_number 1
_symmetry_space_group_name_Hall 'P 1'
loop_
_atom_site_label
_atom_site_type_symbol
_atom_site_fract_x
_atom_site_fract_y
_atom_site_fract_z
_atom_site_occupancy
Tb1 Tb 0.000 0.500 0.500 1
Tb2 Tb 0.500 0.000 0.500 1
Na1 Na 0.000 0.000 0.000 1
Te1 Te 0.000 0.756 0.257 1
Te2 Te 0.500 0.749 0.742 1
Te3 Te 0.000 0.244 0.743 1
Te4 Te 0.500 0.251 0.258 1
Nd1 Nd 0.500 0.500 0.000 1
```

---

No. 5
Material: Na2TbNd3Te6
Method: DFT, PBE
State: relaxed

DOS at the Fermi energy ... 3.9 states/eV/cell
E_form (uncorrected) ... -31.2 kcal/mol of atoms
SG ... No. 12
V ... 385 Å³/cell
Total magnetization ... 0.00 μB per atom

```
data_Na2TbNd3Te6
_cell_length_a 7.758
_cell_length_b 7.758
_cell_length_c 7.814
_cell_angle_alpha 99.51
_cell_angle_beta 99.51
_cell_angle_gamma 119.95
_symmetry_space_group_name_H-M 'P 1'
_symmetry_Int_Tables_number 1
_symmetry_space_group_name_Hall 'P 1'
loop_
_atom_site_label
_atom_site_type_symbol
_atom_site_fract_x
_atom_site_fract_y
_atom_site_fract_z
_atom_site_occupancy
Te1 Te 0.590 0.919 0.756 1
Te2 Te 0.245 0.245 0.752 1
Te3 Te 0.081 0.410 0.244 1
Te4 Te 0.410 0.081 0.244 1
Te5 Te 0.755 0.755 0.248 1
Te6 Te 0.919 0.590 0.756 1
Nd1 Nd 0.830 0.170 0.500 1
Nd2 Nd 0.170 0.830 0.500 1
Nd3 Nd 0.500 0.500 0.500 1
Na1 Na 0.334 0.666 0.000 1
Na2 Na 0.666 0.334 0.000 1
Tb1 Tb 0.000 0.000 0.000 1
```

---

No. 6
Material: Na4Tb3NdTe8
Method: DFT, PBE
State: relaxed

E_form (uncorrected) ... -30.5 kcal/mol of atoms
SG ... No. 166
V ... 524 Å³/cell
Total magnetization ... 0.00 μB per atom

```
data_Na4Tb3NdTe8
_cell_length_a 8.941
_cell_length_b 9.163
_cell_length_c 8.941
_cell_angle_alpha 119.22
_cell_angle_beta 120.00
_cell_angle_gamma 90.00
_symmetry_space_group_name_H-M 'P 1'
_symmetry_Int_Tables_number 1
_symmetry_space_group_name_Hall 'P 1'
loop_
_atom_site_label
_atom_site_type_symbol
_atom_site_fract_x
_atom_site_fract_y
_atom_site_fract_z
_atom_site_occupancy
Te1 Te 0.739 0.735 0.987 1
Te2 Te 0.248 0.735 0.987 1
Te3 Te 0.261 0.265 0.013 1
Te4 Te 0.752 0.265 0.013 1
Te5 Te 0.248 0.735 0.496 1
Te6 Te 0.752 0.265 0.504 1
Te7 Te 0.256 0.268 0.512 1
Te8 Te 0.744 0.732 0.488 1
Nd1 Nd 0.000 0.500 0.000 1
Na1 Na 0.500 0.000 0.500 1
Na2 Na 0.000 0.000 0.000 1
Na3 Na 0.500 0.000 0.000 1
Na4 Na 0.000 0.000 0.500 1
Tb1 Tb 0.500 0.500 0.000 1
Tb2 Tb 0.500 0.500 0.500 1
Tb3 Tb 0.000 0.500 0.500 1
```

---

No. 7
Material: NaTb2NdTl4
Method: DFT, PBE
State: relaxed

DOS at the Fermi energy ... 4.7 states/eV/cell
SG ... No. 166
Calculated formation energy ... -0.304 eV/atom
V ... 224 Å³/cell
Total magnetization ... 0.00 μB per atom

```
data_NaTb2NdTl4
_cell_length_a 5.367
_cell_length_b 5.367
_cell_length_c 9.489
_cell_angle_alpha 73.57
_cell_angle_beta 73.57
_cell_angle_gamma 60.00
_symmetry_space_group_name_H-M 'P 1'
_symmetry_Int_Tables_number 1
_symmetry_space_group_name_Hall 'P 1'
loop_
_atom_site_label
_atom_site_type_symbol
_atom_site_fract_x
_atom_site_fract_y
_atom_site_fract_z
_atom_site_occupancy
Tl1 Tl 0.126 0.126 0.621 1
Tl2 Tl 0.377 0.377 0.870 1
Tl3 Tl 0.874 0.874 0.379 1
Tl4 Tl 0.623 0.623 0.130 1
Tb1 Tb 0.754 0.754 0.737 1
Tb2 Tb 0.246 0.246 0.263 1
Nd1 Nd 0.000 0.000 0.000 1
Na1 Na 0.500 0.500 0.500 1
```

---

No. 8
Material: NaNd2Tc
Method: DFT, PBE
State: relaxed

DOS at the Fermi energy ... 3.8 states/eV/cell
SG ... No. 123
Calculated formation energy ... 0.086 eV/atom
V ... 117 Å³/cell
Total magnetization ... 0.00 μB per atom

```
data_NaNd2Tc
_cell_length_a 3.546
_cell_length_b 3.546
_cell_length_c 9.336
_cell_angle_alpha 90.00
_cell_angle_beta 90.00
_cell_angle_gamma 90.00
_symmetry_space_group_name_H-M 'P 1'
_symmetry_Int_Tables_number 1
_symmetry_space_group_name_Hall 'P 1'
loop_
_atom_site_label
_atom_site_type_symbol
_atom_site_fract_x
_atom_site_fract_y
_atom_site_fract_z
_atom_site_occupancy
Na1 Na 0.500 0.500 0.500 1
Nd1 Nd 0.000 0.000 0.181 1
Nd2 Nd 0.000 0.000 0.819 1
Tc1 Tc 0.500 0.500 0.000 1
```